Below is ZnSb2Br after structural relaxation, with properties calculated at the PBE level.

Results
Its space-group type is I4/mmm. For the density, the calculation gives 6.0 g/cm³. The value obtained for the formation energy without anion corrections is 86.7 meV per atom. The value obtained for the energy above the most stable polymorph in this dataset is 245 meV per atom. The calculation puts the calculated total energy at -0.0996 Ha/atom.

```
data_ZnSb2Br
_symmetry_space_group_name_H-M 'P 1'
_symmetry_Int_Tables_number 1
_symmetry_space_group_name_Hall 'P 1'
_cell_length_a 5.1945
_cell_length_b 5.1918
_cell_length_c 5.1972
_cell_angle_alpha 73.25
_cell_angle_beta 69.13
_cell_angle_gamma 110.83
loop_
_atom_site_label
_atom_site_fract_x
_atom_site_fract_y
_atom_site_fract_z
Sb1 0.0000 0.0000 0.0000
Sb2 0.0000 0.5000 0.5000
Br1 0.5000 0.0000 0.5000
Zn1 0.5000 0.5000 0.0000
```